# 1
A plane-wave DFT calculation with PBE was carried out for a relaxed structure of Pr3AlCu2Pd9. Values from VASP.

Final energy (eV/atom): -5.23
Total moment (μB per atom): 0.0000
Volume (Å³/cell): 309
D(E_F) (states/eV per cell): 6.22
ΔE_f (eV per atom): -0.359

```
&SYSTEM
  ibrav = 0, nat = 15, ntyp = 4
/
ATOMIC_SPECIES
Pr 140.91 Pr.upf
Al 26.98 Al.upf
Cu 63.55 Cu.upf
Pd 106.42 Pd.upf
ATOMIC_POSITIONS crystal
Pr 0.0000 0.0000 0.0000
Pr 0.3333 0.6667 0.6720
Pr 0.6667 0.3333 0.3280
Al 0.0000 0.0000 0.5000
Cu 0.3333 0.6667 0.1715
Cu 0.6667 0.3333 0.8285
Pd 0.0000 0.5000 0.0000
Pd 0.1632 0.3264 0.3311
Pd 0.1632 0.8368 0.3311
Pd 0.3264 0.1632 0.6689
Pd 0.5000 0.0000 0.0000
Pd 0.5000 0.5000 0.0000
Pd 0.6736 0.8368 0.3311
Pd 0.8368 0.1632 0.6689
Pd 0.8368 0.6736 0.6689
CELL_PARAMETERS angstrom
7.3969 0.0000 0.0000
-3.6985 6.4059 0.0000
0.0000 0.0000 6.5114
```

# 2
A plane-wave DFT calculation with PBE was carried out for a relaxed structure of PrAl3CuPd. Values from VASP.

Final energy (eV/atom): -4.62
Total moment (μB per atom): 0.0000
Volume (Å³/cell): 230
D(E_F) (states/eV per cell): 5.98
ΔE_f (eV per atom): -0.403

```
&SYSTEM
  ibrav = 0, nat = 12, ntyp = 4
/
ATOMIC_SPECIES
Pr 140.91 Pr.upf
Al 26.98 Al.upf
Cu 63.55 Cu.upf
Pd 106.42 Pd.upf
ATOMIC_POSITIONS crystal
Pr 0.2228 0.7772 0.7500
Pr 0.7772 0.2228 0.2500
Al 0.2112 0.2112 0.0000
Al 0.2112 0.2112 0.5000
Al 0.3474 0.6526 0.2500
Al 0.6526 0.3474 0.7500
Al 0.7888 0.7888 0.0000
Al 0.7888 0.7888 0.5000
Cu 0.4492 0.5508 0.7500
Cu 0.5508 0.4492 0.2500
Pd 0.1366 0.8634 0.2500
Pd 0.8634 0.1366 0.7500
CELL_PARAMETERS angstrom
3.1492 -6.0713 0.0000
3.1492 6.0713 0.0000
0.0000 0.0000 6.0233
```

# 3
A plane-wave DFT calculation with PBE was carried out for a relaxed structure of Pr2Al4Cu3Pd. Values from VASP.

Final energy (eV/atom): -4.71
Total moment (μB per atom): 0.0000
Volume (Å³/cell): 188
D(E_F) (states/eV per cell): 8.01
ΔE_f (eV per atom): -0.506

```
&SYSTEM
  ibrav = 0, nat = 10, ntyp = 4
/
ATOMIC_SPECIES
Pr 140.91 Pr.upf
Al 26.98 Al.upf
Cu 63.55 Cu.upf
Pd 106.42 Pd.upf
ATOMIC_POSITIONS crystal
Pr 0.0000 0.5000 0.2493
Pr 0.5000 0.0000 0.7507
Al 0.0000 0.0000 0.0000
Al 0.0000 0.5000 0.6287
Al 0.5000 0.0000 0.3713
Al 0.5000 0.5000 0.0000
Cu 0.0000 0.5000 0.8696
Cu 0.5000 0.0000 0.1304
Cu 0.5000 0.5000 0.5000
Pd 0.0000 0.0000 0.5000
CELL_PARAMETERS angstrom
4.2693 0.0000 0.0000
0.0000 4.2693 0.0000
0.0000 0.0000 10.2972
```

# 4
A plane-wave DFT calculation with PBE was carried out for a relaxed structure of PrAl4Cu2Pd. Values from VASP.

Final energy (eV/atom): -4.59
Total moment (μB per atom): 0.0000
Volume (Å³/cell): 140
D(E_F) (states/eV per cell): 3.44
ΔE_f (eV per atom): -0.453

```
&SYSTEM
  ibrav = 0, nat = 8, ntyp = 4
/
ATOMIC_SPECIES
Pr 140.91 Pr.upf
Al 26.98 Al.upf
Cu 63.55 Cu.upf
Pd 106.42 Pd.upf
ATOMIC_POSITIONS crystal
Pr 0.0000 0.0000 0.0000
Al 0.1302 0.1302 0.1302
Al 0.4059 0.4059 0.4059
Al 0.5941 0.5941 0.5941
Al 0.8698 0.8698 0.8698
Cu 0.2378 0.2378 0.2378
Cu 0.7622 0.7622 0.7622
Pd 0.5000 0.5000 0.5000
CELL_PARAMETERS angstrom
2.1129 1.2199 9.0647
-2.1129 1.2199 9.0647
0.0000 -2.4398 9.0647
```

# 5
A plane-wave DFT calculation with PBE was carried out for a relaxed structure of AlCuPdPt. Values from VASP.

Final energy (eV/atom): -5.44
Total moment (μB per atom): 0.0000
Volume (Å³/cell): 56
D(E_F) (states/eV per cell): 0.94
ΔE_f (eV per atom): -0.671

```
&SYSTEM
  ibrav = 0, nat = 4, ntyp = 4
/
ATOMIC_SPECIES
Al 26.98 Al.upf
Cu 63.55 Cu.upf
Pd 106.42 Pd.upf
Pt 195.08 Pt.upf
ATOMIC_POSITIONS crystal
Al 0.0000 0.0000 0.0000
Cu 0.0000 0.5000 0.5000
Pd 0.5000 0.0000 0.5000
Pt 0.5000 0.5000 0.0000
CELL_PARAMETERS angstrom
3.4908 0.0000 0.0000
0.0000 3.9952 0.0000
0.0000 0.0000 4.0374
```

# 6
A plane-wave DFT calculation with PBE was carried out for a relaxed structure of Al2CuPdPt5. Values from VASP.

Final energy (eV/atom): -5.35
Total moment (μB per atom): 0.0000
Volume (Å³/cell): 291
D(E_F) (states/eV per cell): 13.25
ΔE_f (eV per atom): -0.131

```
&SYSTEM
  ibrav = 0, nat = 18, ntyp = 4
/
ATOMIC_SPECIES
Al 26.98 Al.upf
Cu 63.55 Cu.upf
Pd 106.42 Pd.upf
Pt 195.08 Pt.upf
ATOMIC_POSITIONS crystal
Al 0.1151 0.6151 0.7302
Al 0.3849 0.1151 0.5000
Al 0.6151 0.8849 0.5000
Al 0.8849 0.3849 0.2698
Cu 0.2500 0.2500 0.0000
Cu 0.7500 0.7500 0.0000
Pd 0.2500 0.7500 0.5000
Pd 0.7500 0.2500 0.5000
Pt 0.0000 0.0000 0.0000
Pt 0.0778 0.1659 0.5000
Pt 0.1659 0.6659 0.0881
Pt 0.3341 0.4222 0.5000
Pt 0.4222 0.9222 0.0881
Pt 0.5000 0.5000 0.0000
Pt 0.5778 0.0778 0.9119
Pt 0.6659 0.5778 0.5000
Pt 0.8341 0.3341 0.9119
Pt 0.9222 0.8341 0.5000
CELL_PARAMETERS angstrom
-3.6011 3.6011 5.6144
3.6011 -3.6011 5.6144
3.6011 3.6011 -5.6144
```

# 7
A plane-wave DFT calculation with PBE was carried out for a relaxed structure of PuAl4Cu2Pd. Values from VASP.

Final energy (eV/atom): -5.66
Total moment (μB per atom): 0.6944
Volume (Å³/cell): 136
D(E_F) (states/eV per cell): 11.84
ΔE_f (eV per atom): -0.326

```
&SYSTEM
  ibrav = 0, nat = 8, ntyp = 4
/
ATOMIC_SPECIES
Pu 244.00 Pu.upf
Al 26.98 Al.upf
Cu 63.55 Cu.upf
Pd 106.42 Pd.upf
ATOMIC_POSITIONS crystal
Pu 0.0000 0.0000 0.0000
Al 0.1291 0.1291 0.1291
Al 0.4030 0.4030 0.4030
Al 0.5970 0.5970 0.5970
Al 0.8709 0.8709 0.8709
Cu 0.2404 0.2404 0.2404
Cu 0.7596 0.7596 0.7596
Pd 0.5000 0.5000 0.5000
CELL_PARAMETERS angstrom
2.1036 1.2145 8.8546
-2.1036 1.2145 8.8546
0.0000 -2.4290 8.8546
```

# 8
A plane-wave DFT calculation with PBE was carried out for a relaxed structure of Pu2Al4CuPd3. Values from VASP.

Final energy (eV/atom): -6.87
Total moment (μB per atom): 1.1617
Volume (Å³/cell): 189
D(E_F) (states/eV per cell): 28.94
ΔE_f (eV per atom): -0.535

```
&SYSTEM
  ibrav = 0, nat = 10, ntyp = 4
/
ATOMIC_SPECIES
Pu 244.00 Pu.upf
Al 26.98 Al.upf
Cu 63.55 Cu.upf
Pd 106.42 Pd.upf
ATOMIC_POSITIONS crystal
Pu 0.0000 0.5000 0.2435
Pu 0.5000 0.0000 0.7565
Al 0.0000 0.0000 0.5000
Al 0.0000 0.5000 0.8763
Al 0.5000 0.0000 0.1237
Al 0.5000 0.5000 0.5000
Cu 0.5000 0.5000 0.0000
Pd 0.0000 0.0000 0.0000
Pd 0.0000 0.5000 0.6333
Pd 0.5000 0.0000 0.3667
CELL_PARAMETERS angstrom
4.2875 0.0000 0.0000
0.0000 4.2875 0.0000
0.0000 0.0000 10.2603
```

| no. | ρ (Mg/m³) |
| --- | --- |
| 1 | 8.26 |
| 2 | 5.65 |
| 3 | 6.08 |
| 4 | 5.71 |
| 5 | 11.56 |
| 6 | 13.68 |
| 7 | 7.16 |
| 8 | 8.62 |